(1)
First-principles (PBE-GGA) data for a relaxed TlPt15 crystal, as listed in OQMD via LeMat-Bulk.

Cell: 4.774 34.355 4.775 Å, 90.00 109.27 90.00°
Fractional coordinates of all 32 atoms:
Tl 0.000 0.167 0.250
Tl 0.000 0.833 0.750
Pt 0.000 0.225 0.750
Pt 0.000 0.268 0.250
Pt 0.000 0.311 0.750
Pt 0.000 0.353 0.250
Pt 0.000 0.395 0.750
Pt 0.000 0.437 0.250
Pt 0.000 0.479 0.750
Pt 0.000 0.521 0.250
Pt 0.000 0.563 0.750
Pt 0.000 0.605 0.250
Pt 0.000 0.647 0.750
Pt 0.000 0.689 0.250
Pt 0.000 0.732 0.750
Pt 0.000 0.775 0.250
Pt 0.500 0.188 0.750
Pt 0.500 0.225 0.250
Pt 0.500 0.269 0.750
Pt 0.500 0.311 0.250
Pt 0.500 0.353 0.750
Pt 0.500 0.395 0.250
Pt 0.500 0.437 0.750
Pt 0.500 0.479 0.250
Pt 0.500 0.521 0.750
Pt 0.500 0.563 0.250
Pt 0.500 0.605 0.750
Pt 0.500 0.647 0.250
Pt 0.500 0.689 0.750
Pt 0.500 0.731 0.250
Pt 0.500 0.775 0.750
Pt 0.500 0.812 0.250

Space-group type ... P2/c, No. 13
VASP energy ... -5.77 eV/atom

=====

(2)
First-principles (PBE-GGA) data for a relaxed Tl3Pt crystal, as listed in OQMD via LeMat-Bulk.

Cell: 7.145 7.145 7.145 Å, 52.06 52.06 52.06°
Fractional coordinates of all 8 atoms:
Tl 0.098 0.404 0.784
Tl 0.216 0.902 0.596
Tl 0.404 0.784 0.098
Tl 0.596 0.216 0.902
Tl 0.784 0.098 0.404
Tl 0.902 0.596 0.216
Pt 0.332 0.332 0.332
Pt 0.668 0.668 0.668

Space-group type ... R-3, No. 148
VASP energy ... -3.26 eV/atom

=====

(3)
First-principles (PBE-GGA) data for a relaxed Tl3Pt2 crystal, as listed in OQMD via LeMat-Bulk.

Cell: 11.030 3.902 11.477 Å, 90.00 110.41 90.00°
Fractional coordinates of all 20 atoms:
Tl 0.015 0.250 0.382
Tl 0.139 0.250 0.951
Tl 0.215 0.750 0.290
Tl 0.300 0.750 0.783
Tl 0.391 0.250 0.554
Tl 0.412 0.750 0.142
Tl 0.588 0.250 0.858
Tl 0.609 0.750 0.446
Tl 0.700 0.250 0.217
Tl 0.785 0.250 0.710
Tl 0.861 0.750 0.049
Tl 0.985 0.750 0.618
Pt 0.046 0.250 0.148
Pt 0.195 0.750 0.530
Pt 0.394 0.250 0.966
Pt 0.415 0.250 0.316
Pt 0.585 0.750 0.684
Pt 0.606 0.750 0.034
Pt 0.805 0.250 0.470
Pt 0.954 0.750 0.852

Space-group type ... P2_1/m, No. 11
VASP energy ... -3.85 eV/atom

=====

(4)
First-principles (PBE-GGA) data for a relaxed Tl3Pt2 crystal, as listed in OQMD via LeMat-Bulk.

Cell: 7.120 7.120 7.120 Å, 57.17 57.17 57.17°
Fractional coordinates of all 10 atoms:
Tl 0.051 0.440 0.782
Tl 0.218 0.949 0.560
Tl 0.440 0.782 0.051
Tl 0.560 0.218 0.949
Tl 0.782 0.051 0.440
Tl 0.949 0.560 0.218
Pt 0.000 0.000 0.000
Pt 0.346 0.346 0.346
Pt 0.500 0.500 0.500
Pt 0.654 0.654 0.654

Space-group type ... R-3, No. 148
VASP energy ... -3.84 eV/atom

=====

(5)
First-principles (PBE-GGA) data for a relaxed TlPt crystal, as listed in OQMD via LeMat-Bulk.

Cell: 3.252 3.252 4.368 Å, 90.00 90.00 120.00°
Fractional coordinates of all 2 atoms:
Tl 0.000 0.000 0.000
Pt 0.333 0.667 0.500

Space-group type ... P-6m2, No. 187
VASP energy ... -4.06 eV/atom

=====

(6)
First-principles (PBE-GGA) data for a relaxed TlPt2 crystal, as listed in OQMD via LeMat-Bulk.

Cell: 5.492 5.492 17.490 Å, 90.00 90.00 120.00°
Fractional coordinates of all 24 atoms:
Tl 0.000 0.000 0.094
Tl 0.000 0.000 0.406
Tl 0.000 0.000 0.594
Tl 0.000 0.000 0.906
Tl 0.333 0.667 0.156
Tl 0.333 0.667 0.344
Tl 0.667 0.333 0.656
Tl 0.667 0.333 0.844
Pt 0.000 0.500 0.000
Pt 0.000 0.500 0.500
Pt 0.164 0.329 0.750
Pt 0.164 0.836 0.750
Pt 0.329 0.164 0.250
Pt 0.333 0.667 0.625
Pt 0.333 0.667 0.875
Pt 0.500 0.000 0.000
Pt 0.500 0.000 0.500
Pt 0.500 0.500 0.000
Pt 0.500 0.500 0.500
Pt 0.667 0.333 0.125
Pt 0.667 0.333 0.375
Pt 0.671 0.836 0.750
Pt 0.836 0.164 0.250
Pt 0.836 0.671 0.250

Space-group type ... P6_3/mmc, No. 194
VASP energy ... -4.87 eV/atom

=====

(7)
First-principles (PBE-GGA) data for a relaxed Tl2Pt crystal, as listed in OQMD via LeMat-Bulk.

Cell: 7.673 7.673 7.673 Å, 60.00 60.00 60.00°
Fractional coordinates of all 12 atoms:
Tl 0.222 0.759 0.759
Tl 0.241 0.241 0.241
Tl 0.241 0.241 0.778
Tl 0.241 0.778 0.241
Tl 0.759 0.222 0.759
Tl 0.759 0.759 0.222
Tl 0.759 0.759 0.759
Tl 0.778 0.241 0.241
Pt 0.000 0.500 0.500
Pt 0.500 0.000 0.500
Pt 0.500 0.500 0.000
Pt 0.500 0.500 0.500

Space-group type ... Fd-3m, No. 227
VASP energy ... -3.51 eV/atom

=====

(8)
First-principles (PBE-GGA) data for a relaxed TlPt15 crystal, as listed in OQMD via LeMat-Bulk.

Cell: 3.949 3.950 45.147 Å, 90.00 90.00 90.00°
Fractional coordinates of all 32 atoms:
Tl 0.250 0.000 0.155
Tl 0.750 0.000 0.845
Pt 0.250 0.000 0.258
Pt 0.250 0.000 0.345
Pt 0.250 0.000 0.434
Pt 0.250 0.000 0.522
Pt 0.250 0.000 0.610
Pt 0.250 0.000 0.699
Pt 0.250 0.000 0.787
Pt 0.250 0.500 0.213
Pt 0.250 0.500 0.301
Pt 0.250 0.500 0.390
Pt 0.250 0.500 0.478
Pt 0.250 0.500 0.566
Pt 0.250 0.500 0.654
Pt 0.250 0.500 0.743
Pt 0.250 0.500 0.830
Pt 0.750 0.000 0.213
Pt 0.750 0.000 0.301
Pt 0.750 0.000 0.390
Pt 0.750 0.000 0.478
Pt 0.750 0.000 0.566
Pt 0.750 0.000 0.655
Pt 0.750 0.000 0.742
Pt 0.750 0.500 0.170
Pt 0.750 0.500 0.257
Pt 0.750 0.500 0.346
Pt 0.750 0.500 0.434
Pt 0.750 0.500 0.522
Pt 0.750 0.500 0.610
Pt 0.750 0.500 0.699
Pt 0.750 0.500 0.787

Space-group type ... Pmma, No. 51
VASP energy ... -5.80 eV/atom